## Hf2TlCd2 (PBE-GGA)

Data for an optimized crystal structure of Hf2TlCd2.

Structure (CIF):
```
data_Hf2TlCd2
_chemical_formula_sum 'Hf4 Tl2 Cd4'
_cell_length_a 8.598
_cell_length_b 8.598
_cell_length_c 3.236
_cell_angle_alpha 90.00
_cell_angle_beta 90.00
_cell_angle_gamma 90.00
_symmetry_space_group_name_H-M 'P 1'
_symmetry_Int_Tables_number 1
loop_
_symmetry_equiv_pos_as_xyz
'x,y,z'
loop_
_atom_site_label
_atom_site_type_symbol
_atom_site_fract_x
_atom_site_fract_y
_atom_site_fract_z
Tl1 Tl 0.000 0.000 0.000
Tl2 Tl 0.500 0.500 0.000
Hf1 Hf 0.377 0.877 0.000
Hf2 Hf 0.877 0.623 0.000
Hf3 Hf 0.623 0.123 0.000
Hf4 Hf 0.123 0.377 0.000
Cd1 Cd 0.173 0.673 0.500
Cd2 Cd 0.673 0.827 0.500
Cd3 Cd 0.827 0.327 0.500
Cd4 Cd 0.327 0.173 0.500
```

Summary:
Offset from the most stable computed form: 20 meV per atom
Energy of formation from the pure elements: 0.273 eV/atom